First-principles (GGA-PBE) data for crystalline CuGe2Pd at its relaxed geometry, as listed in Alexandria.

* energy of formation from the pure elements: -0.070 eV/atom
* magnetization: 0.00 μB/cell
* VASP energy: -4.70 eV per atom
* Fermi-level density of states: 3.87 states/eV per cell
* calculated volume: 203.4 Å³ per cell

abc: 4.1632 4.1632 13.5529
angles: 90.00 90.00 120.00
Last column: nearest neighbours and their distance in Å.
Space group R3m (No. 160, hexagonal axes)
Asymmetric unit:
Cu (0.0000, 0.0000, 0.0000) [3 per cell]  4 Ge 2.57-2.86, 1 Pd 2.69
Ge (0.0000, 0.0000, 0.2114) [3 per cell]  1 Ge 2.58, 3 Pd 2.62, 1 Cu 2.86
Ge (0.0000, 0.0000, 0.4014) [3 per cell]  3 Pd 2.57, 3 Cu 2.57, 1 Ge 2.58
Pd (0.0000, 0.0000, 0.8012) [3 per cell]  6 Ge 2.57-2.62, 1 Cu 2.69

First-principles (GGA-PBE) data for crystalline Cu2GePd8 at its relaxed geometry, as listed in Alexandria.

* energy of formation from the pure elements: -0.125 eV/atom
* magnetization: 0.00 μB/cell
* VASP energy: -5.07 eV per atom
* Fermi-level density of states: 19.46 states/eV per cell
* calculated volume: 333.7 Å³ per cell

abc: 4.2160 7.1210 11.1160
angles: 90.00 90.00 90.00
Last column: nearest neighbours and their distance in Å.
Space group Immm (No. 71)
Asymmetric unit:
Cu (0.0000, 0.0000, 0.2018) [4 per cell]  10 Pd 2.57-2.76
Ge (0.0000, 0.0000, 0.5000) [2 per cell]  8 Pd 2.61-2.63
Pd (0.0000, 0.1830, 0.0000) [4 per cell]  2 Cu 2.59, 7 Pd 2.61-2.73
Pd (0.0000, 0.2816, 0.3467) [8 per cell]  3 Cu 2.57-2.67, 1 Ge 2.63, 3 Pd 2.72-2.79
Pd (0.0000, 0.5000, 0.1380) [4 per cell]  2 Ge 2.61, 8 Pd 2.73-2.91, 2 Cu 2.76

First-principles (GGA-PBE) data for crystalline CuGe2Pd at its relaxed geometry, as listed in Alexandria.

* energy of formation from the pure elements: -0.048 eV/atom
* magnetization: 0.00 μB/cell
* VASP energy: -4.68 eV per atom
* Fermi-level density of states: 1.06 states/eV per cell
* calculated volume: 62.8 Å³ per cell

abc: 3.1772 3.1772 6.2257
angles: 90.00 90.00 90.00
Last column: nearest neighbours and their distance in Å.
Space group P4/mmm (No. 123)
Asymmetric unit:
Cu (0.0000, 0.0000, 0.0000) [1 per cell]  8 Ge 2.72
Ge (0.5000, 0.5000, 0.2460) [2 per cell]  4 Cu 2.72, 4 Pd 2.75
Pd (0.0000, 0.0000, 0.5000) [1 per cell]  8 Ge 2.75

First-principles (GGA-PBE) data for crystalline Cu2Ge2Pd at its relaxed geometry, as listed in Alexandria.

* energy of formation from the pure elements: 0.018 eV/atom
* magnetization: 0.00 μB/cell
* VASP energy: -4.51 eV per atom
* Fermi-level density of states: 5.04 states/eV per cell
* calculated volume: 150.1 Å³ per cell

abc: 6.9021 6.9021 3.1506
angles: 90.00 90.00 90.00
Last column: nearest neighbours and their distance in Å.
Space group P4/mbm (No. 127)
Asymmetric unit:
Cu (0.1271, 0.3729, 0.0000) [4 per cell]  1 Cu 2.48, 6 Ge 2.50-2.63, 2 Pd 2.72
Ge (0.1737, 0.6737, 0.5000) [4 per cell]  6 Cu 2.50-2.63
Pd (0.0000, 0.0000, 0.0000) [2 per cell]  4 Cu 2.72, 8 Ge 3.00

First-principles (GGA-PBE) data for crystalline Cu5GePd8 at its relaxed geometry, as listed in Alexandria.

* energy of formation from the pure elements: -0.063 eV/atom
* magnetization: 0.00 μB/cell
* VASP energy: -4.82 eV per atom
* Fermi-level density of states: 10.51 states/eV per cell
* calculated volume: 418.0 Å³ per cell

abc: 7.3589 7.3589 7.7182
angles: 90.00 90.00 90.00
Last column: nearest neighbours and their distance in Å.
Space group I-4 (No. 82)
Asymmetric unit:
Cu (0.0000, 0.0000, 0.0000) [2 per cell]  8 Pd 2.50-2.58
Cu (0.1107, 0.7967, 0.5826) [8 per cell]  8 Pd 2.55-2.74, 2 Cu 2.73
Ge (0.0000, 0.5000, 0.2500) [2 per cell]  4 Pd 2.39
Pd (0.0663, 0.6698, 0.9076) [8 per cell]  5 Cu 2.58-2.74, 4 Pd 2.68-2.86
Pd (0.0948, 0.8100, 0.2527) [8 per cell]  1 Ge 2.39, 4 Cu 2.50-2.65

First-principles (GGA-PBE) data for crystalline Cu2GePd at its relaxed geometry, as listed in Alexandria.

* energy of formation from the pure elements: 0.046 eV/atom
* magnetization: 0.00 μB/cell
* VASP energy: -4.45 eV per atom
* Fermi-level density of states: 3.94 states/eV per cell
* calculated volume: 238.9 Å³ per cell

abc: 6.9047 6.9047 5.0112
angles: 90.00 90.00 90.00
Last column: nearest neighbours and their distance in Å.
Space group I-42d (No. 122)
Asymmetric unit:
Cu (0.2326, 0.2500, 0.1250) [8 per cell]  2 Ge 2.44, 2 Cu 2.52, 2 Pd 2.60
Ge (0.0000, 0.0000, 0.0000) [4 per cell]  4 Cu 2.44, 2 Pd 2.51
Pd (0.0000, 0.0000, 0.5000) [4 per cell]  2 Ge 2.51, 4 Cu 2.60

First-principles (GGA-PBE) data for crystalline Cu2Ge2Pd at its relaxed geometry, as listed in Alexandria.

* energy of formation from the pure elements: 0.079 eV/atom
* magnetization: 0.00 μB/cell
* VASP energy: -4.44 eV per atom
* Fermi-level density of states: 4.91 states/eV per cell
* calculated volume: 157.1 Å³ per cell

abc: 3.3400 3.3400 14.0808
angles: 90.00 90.00 90.00
Last column: nearest neighbours and their distance in Å.
Space group I4/mmm (No. 139)
Asymmetric unit:
Cu (0.0000, 0.5000, 0.2500) [4 per cell]  4 Cu 2.36
Ge (0.0000, 0.0000, 0.1040) [4 per cell]  4 Cu 2.65, 4 Pd 2.78, 1 Ge 2.93
Pd (0.0000, 0.0000, 0.5000) [2 per cell]  8 Ge 2.78

First-principles (GGA-PBE) data for crystalline Cu4GePd at its relaxed geometry, as listed in Alexandria.

* energy of formation from the pure elements: 0.040 eV/atom
* magnetization: 0.00 μB/cell
* VASP energy: -4.33 eV per atom
* Fermi-level density of states: 22.50 states/eV per cell
* calculated volume: 326.6 Å³ per cell

abc: 6.8864 6.8864 6.8864
angles: 90.00 90.00 90.00
Last column: nearest neighbours and their distance in Å.
Space group F-43m (No. 216)
Asymmetric unit:
Cu (0.1248, 0.1248, 0.1248) [16 per cell]  6 Cu 2.43-2.44
Ge (0.0000, 0.0000, 0.5000) [4 per cell]  12 Cu 2.86, 4 Pd 2.98
Pd (0.2500, 0.2500, 0.7500) [4 per cell]  12 Cu 2.85, 4 Ge 2.98

First-principles (GGA-PBE) data for crystalline Cu2GePd8 at its relaxed geometry, as listed in Alexandria.

* energy of formation from the pure elements: -0.179 eV/atom
* magnetization: 0.00 μB/cell
* VASP energy: -5.12 eV per atom
* Fermi-level density of states: 22.19 states/eV per cell
* calculated volume: 326.2 Å³ per cell

abc: 13.8858 4.0571 5.9555
angles: 90.00 103.55 90.00
Last column: nearest neighbours and their distance in Å.
Space group C2/m (No. 12)
Asymmetric unit:
Cu (0.2230, 0.0000, 0.1431) [4 per cell]  10 Pd 2.58-2.78, 2 Cu 2.86
Ge (0.0000, 0.5000, 0.5000) [2 per cell]  8 Pd 2.60-2.70
Pd (0.0413, 0.0000, 0.2418) [4 per cell]  2 Ge 2.69, 1 Cu 2.72, 9 Pd 2.74-2.88
Pd (0.0949, 0.5000, 0.9511) [4 per cell]  1 Ge 2.70, 3 Cu 2.71-2.76, 8 Pd 2.72-2.88
Pd (0.1494, 0.0000, 0.7033) [4 per cell]  3 Cu 2.58-2.71, 7 Pd 2.69-2.81
Pd (0.1756, 0.5000, 0.4184) [4 per cell]  1 Ge 2.60, 3 Cu 2.66-2.78, 8 Pd 2.69-2.90

First-principles (GGA-PBE) data for crystalline Cu5GePd4 at its relaxed geometry, as listed in Alexandria.

* energy of formation from the pure elements: -0.212 eV/atom
* magnetization: 0.00 μB/cell
* VASP energy: -4.80 eV per atom
* Fermi-level density of states: 3.26 states/eV per cell
* calculated volume: 136.8 Å³ per cell

abc: 4.4839 5.3434 6.1614
angles: 76.07 74.31 79.24
Last column: nearest neighbours and their distance in Å.
Space group P-1 (No. 2)
Asymmetric unit:
Cu (0.0000, 0.0000, 0.0000) [1 per cell]  6 Cu 2.60-2.64, 2 Ge 2.67, 4 Pd 2.72-2.73
Cu (0.2197, 0.2825, 0.6001) [2 per cell]  3 Cu 2.60-2.77, 7 Pd 2.64-2.70, 1 Ge 2.83
Cu (0.4121, 0.0832, 0.2011) [2 per cell]  5 Cu 2.60-2.77, 6 Pd 2.62-2.74, 1 Ge 2.88
Ge (0.0000, 0.5000, 0.0000) [1 per cell]  6 Pd 2.52-2.74, 2 Cu 2.67
Pd (0.1819, 0.7890, 0.6154) [2 per cell]  1 Ge 2.52, 8 Cu 2.63-2.73
Pd (0.3755, 0.6010, 0.1986) [2 per cell]  2 Ge 2.53-2.74, 7 Cu 2.62-2.74, 1 Pd 2.78

First-principles (GGA-PBE) data for crystalline Cu5GePd2 at its relaxed geometry, as listed in Alexandria.

* energy of formation from the pure elements: -0.156 eV/atom
* magnetization: 0.00 μB/cell
* VASP energy: -4.59 eV per atom
* Fermi-level density of states: 4.87 states/eV per cell
* calculated volume: 212.2 Å³ per cell

abc: 5.3491 10.6648 3.7200
angles: 90.00 90.00 90.00
Last column: nearest neighbours and their distance in Å.
Space group Pbam (No. 55)
Asymmetric unit:
Cu (0.0000, 0.0000, 0.0000) [2 per cell]  6 Cu 2.62-2.65, 2 Ge 2.67, 4 Pd 2.69
Cu (0.0250, 0.2486, 0.0000) [4 per cell]  7 Cu 2.60-2.67, 4 Pd 2.67-2.69, 1 Ge 2.68
Cu (0.2230, 0.8679, 0.5000) [4 per cell]  6 Cu 2.60-2.63, 4 Pd 2.65-2.70, 2 Ge 2.76
Ge (0.0000, 0.5000, 0.0000) [2 per cell]  4 Pd 2.56, 8 Cu 2.67-2.76
Pd (0.2270, 0.6195, 0.5000) [4 per cell]  2 Ge 2.56, 10 Cu 2.65-2.70

First-principles (GGA-PBE) data for crystalline Cu2Ge2Pd at its relaxed geometry, as listed in Alexandria.

* energy of formation from the pure elements: 0.014 eV/atom
* magnetization: 0.00 μB/cell
* VASP energy: -4.51 eV per atom
* Fermi-level density of states: 3.94 states/eV per cell
* calculated volume: 153.8 Å³ per cell

abc: 6.4828 6.4828 3.6586
angles: 90.00 90.00 90.00
Last column: nearest neighbours and their distance in Å.
Space group P4/mbm (No. 127)
Asymmetric unit:
Cu (0.1501, 0.3499, 0.0000) [4 per cell]  6 Ge 2.63-2.64, 1 Cu 2.75
Ge (0.1431, 0.6431, 0.5000) [4 per cell]  2 Pd 2.49, 1 Ge 2.62, 6 Cu 2.63-2.64
Pd (0.0000, 0.0000, 0.5000) [2 per cell]  4 Ge 2.49

First-principles (GGA-PBE) data for crystalline CuGe2Pd7 at its relaxed geometry, as listed in Alexandria.

* energy of formation from the pure elements: 0.024 eV/atom
* magnetization: 0.00 μB/cell
* VASP energy: -4.94 eV per atom
* Fermi-level density of states: 9.70 states/eV per cell
* calculated volume: 380.1 Å³ per cell

abc: 7.3520 12.1005 4.2727
angles: 90.00 90.00 90.00
Last column: nearest neighbours and their distance in Å.
Space group Cmmm (No. 65)
Asymmetric unit:
Cu (0.0000, 0.0000, 0.0000) [2 per cell]  2 Pd 2.56
Ge (0.0000, 0.3014, 0.5000) [4 per cell]  7 Pd 2.40-2.63
Pd (0.0000, 0.2118, 0.0000) [4 per cell]  2 Ge 2.40, 1 Cu 2.56
Pd (0.0000, 0.5000, 0.5000) [2 per cell]  2 Ge 2.40
Pd (0.1878, 0.1168, 0.5000) [8 per cell]  2 Ge 2.50-2.63, 4 Pd 2.70-2.79

First-principles (GGA-PBE) data for crystalline Cu2Ge2Pd at its relaxed geometry, as listed in Alexandria.

* energy of formation from the pure elements: 0.204 eV/atom
* magnetization: 0.00 μB/cell
* VASP energy: -4.32 eV per atom
* Fermi-level density of states: 4.37 states/eV per cell
* calculated volume: 157.9 Å³ per cell

abc: 3.6961 3.6961 11.5618
angles: 90.00 90.00 90.00
Last column: nearest neighbours and their distance in Å.
Space group I4/mmm (No. 139)
Asymmetric unit:
Cu (0.0000, 0.0000, 0.1017) [4 per cell]  1 Cu 2.35, 4 Ge 2.52
Ge (0.0000, 0.5000, 0.2500) [4 per cell]  4 Cu 2.52, 4 Ge 2.61
Pd (0.0000, 0.0000, 0.5000) [2 per cell]  8 Cu 2.87

First-principles (GGA-PBE) data for crystalline CuGe2Pd4 at its relaxed geometry, as listed in Alexandria.

* energy of formation from the pure elements: 0.240 eV/atom
* magnetization: 0.00 μB/cell
* VASP energy: -4.63 eV per atom
* Fermi-level density of states: 10.54 states/eV per cell
* calculated volume: 265.5 Å³ per cell

abc: 4.6433 4.6433 12.3154
angles: 90.00 90.00 90.00
Last column: nearest neighbours and their distance in Å.
Space group I4/mmm (No. 139)
Asymmetric unit:
Cu (0.0000, 0.0000, 0.0000) [2 per cell]  6 Pd 2.32-2.49
Ge (0.0000, 0.0000, 0.3925) [4 per cell]  1 Pd 2.34
Pd (0.0000, 0.0000, 0.2021) [4 per cell]  1 Ge 2.34, 1 Cu 2.49
Pd (0.0000, 0.5000, 0.0000) [4 per cell]  2 Cu 2.32

First-principles (GGA-PBE) data for crystalline CuGe2Pd at its relaxed geometry, as listed in Alexandria.

* energy of formation from the pure elements: 0.003 eV/atom
* magnetization: 0.00 μB/cell
* VASP energy: -4.63 eV per atom
* Fermi-level density of states: 5.26 states/eV per cell
* calculated volume: 204.5 Å³ per cell

abc: 3.0208 3.0208 25.8745
angles: 90.00 90.00 120.00
Last column: nearest neighbours and their distance in Å.
Space group R-3m (No. 166, hexagonal axes)
Asymmetric unit:
Cu (0.0000, 0.0000, 0.0000) [3 per cell]  2 Ge 2.35
Ge (0.0000, 0.0000, 0.0907) [6 per cell]  1 Cu 2.35, 3 Pd 2.63
Pd (0.0000, 0.0000, 0.5000) [3 per cell]  6 Ge 2.63

First-principles (GGA-PBE) data for crystalline CuGe3Pd at its relaxed geometry, as listed in Alexandria.

* energy of formation from the pure elements: 0.494 eV/atom
* magnetization: 0.00 μB/cell
* VASP energy: -4.13 eV per atom
* Fermi-level density of states: 3.15 states/eV per cell
* calculated volume: 99.0 Å³ per cell

abc: 4.6267 4.6267 4.6267
angles: 90.00 90.00 90.00
Last column: nearest neighbours and their distance in Å.
Space group Pm-3m (No. 221)
Asymmetric unit:
Cu (0.0000, 0.0000, 0.0000) [1 per cell]  6 Ge 2.31
Ge (0.0000, 0.0000, 0.5000) [3 per cell]  2 Cu 2.31
Pd (0.5000, 0.5000, 0.5000) [1 per cell]  12 Ge 3.27

First-principles (GGA-PBE) data for crystalline Cu4GePd at its relaxed geometry, as listed in Alexandria.

* energy of formation from the pure elements: -0.099 eV/atom
* magnetization: 0.00 μB/cell
* VASP energy: -4.46 eV per atom
* Fermi-level density of states: 3.62 states/eV per cell
* calculated volume: 157.7 Å³ per cell

abc: 8.5383 3.8147 5.1773
angles: 90.00 110.74 90.00
Last column: nearest neighbours and their distance in Å.
Space group C2/m (No. 12)
Asymmetric unit:
Cu (0.1638, 0.0000, 0.3292) [4 per cell]  7 Cu 2.58-2.74, 2 Ge 2.61, 3 Pd 2.69
Cu (0.1785, 0.0000, 0.8358) [4 per cell]  7 Cu 2.56-2.74, 3 Ge 2.57-2.76, 2 Pd 2.67
Ge (0.0000, 0.5000, 0.0000) [2 per cell]  10 Cu 2.57-2.76, 2 Pd 2.59
Pd (0.0000, 0.5000, 0.5000) [2 per cell]  2 Ge 2.59, 10 Cu 2.67-2.69

First-principles (GGA-PBE) data for crystalline CuGe2Pd at its relaxed geometry, as listed in Alexandria.

* energy of formation from the pure elements: -0.018 eV/atom
* magnetization: 0.00 μB/cell
* VASP energy: -4.65 eV per atom
* Fermi-level density of states: 1.99 states/eV per cell
* calculated volume: 62.5 Å³ per cell

abc: 4.0774 4.0774 3.7567
angles: 90.00 90.00 90.00
Last column: nearest neighbours and their distance in Å.
Space group P4/mmm (No. 123)
Asymmetric unit:
Cu (0.0000, 0.0000, 0.0000) [1 per cell]  8 Ge 2.77, 4 Pd 2.88
Ge (0.0000, 0.5000, 0.5000) [2 per cell]  4 Cu 2.77, 4 Pd 2.77, 4 Ge 2.88
Pd (0.5000, 0.5000, 0.0000) [1 per cell]  8 Ge 2.77, 4 Cu 2.88

First-principles (GGA-PBE) data for crystalline Cu4GePd at its relaxed geometry, as listed in Alexandria.

* energy of formation from the pure elements: -0.088 eV/atom
* magnetization: 0.00 μB/cell
* VASP energy: -4.45 eV per atom
* Fermi-level density of states: 1.87 states/eV per cell
* calculated volume: 79.1 Å³ per cell

abc: 4.2384 4.9318 4.9456
angles: 61.95 64.76 64.56
Last column: nearest neighbours and their distance in Å.
Space group P-1 (No. 2)
Asymmetric unit:
Cu (0.1539, 0.1723, 0.0197) [2 per cell]  5 Cu 2.53-2.66, 2 Ge 2.56, 1 Pd 2.69
Cu (0.1798, 0.6498, 0.4904) [2 per cell]  5 Cu 2.49-2.58, 1 Ge 2.51, 2 Pd 2.64
Ge (0.5000, 0.5000, 0.0000) [1 per cell]  6 Cu 2.51-2.56, 2 Pd 2.54
Pd (0.5000, 0.0000, 0.5000) [1 per cell]  2 Ge 2.54, 6 Cu 2.64-2.69